A plane-wave DFT calculation with meta-GGA SCAN was carried out for a crystal of MnFe2Si relaxed with PBEsol.

Lattice parameters (Å, degrees): 2.505 2.505 23.035 90.00 90.00 120.00
Fractional positions:
Mn (0.000, 0.000, 0.000)
Mn (0.333, 0.667, 0.667)
Mn (0.667, 0.333, 0.333)
Fe (0.000, 0.000, 0.251)
Fe (0.000, 0.000, 0.500)
Fe (0.333, 0.667, 0.166)
Fe (0.333, 0.667, 0.918)
Fe (0.667, 0.333, 0.585)
Fe (0.667, 0.333, 0.833)
Si (0.000, 0.000, 0.751)
Si (0.333, 0.667, 0.418)
Si (0.667, 0.333, 0.085)

Properties
* raw total energy: -0.5908 hartree per atom
* calculated density: 7747 kg/m3
* uncorrected formation energy: 56 meV per atom

A plane-wave DFT calculation with meta-GGA SCAN was carried out for a crystal of InAg2Pb relaxed with PBEsol.

Lattice parameters (Å, degrees): 7.024 7.024 7.024 90.00 90.00 90.00
Fractional positions:
In (0.000, 0.000, 0.000)
In (0.000, 0.500, 0.500)
In (0.500, 0.000, 0.500)
In (0.500, 0.500, 0.000)
Ag (0.000, 0.000, 0.500)
Ag (0.000, 0.500, 0.000)
Ag (0.250, 0.250, 0.750)
Ag (0.250, 0.750, 0.250)
Ag (0.500, 0.000, 0.000)
Ag (0.500, 0.500, 0.500)
Ag (0.750, 0.250, 0.250)
Ag (0.750, 0.750, 0.750)
Pb (0.250, 0.250, 0.250)
Pb (0.250, 0.750, 0.750)
Pb (0.750, 0.250, 0.750)
Pb (0.750, 0.750, 0.250)

Properties
* raw total energy: -1.5711 hartree per atom
* energy relative to the elements: 0.22 eV per atom
* calculated density: 10306 kg/m3

A plane-wave DFT calculation with meta-GGA SCAN was carried out for a crystal of Fe4Co relaxed with PBEsol.

Lattice parameters (Å, degrees): 2.792 2.792 14.067 90.00 90.00 90.00
Fractional positions:
Fe (0.000, 0.000, 0.099)
Fe (0.000, 0.000, 0.300)
Fe (0.000, 0.000, 0.700)
Fe (0.000, 0.000, 0.901)
Fe (0.500, 0.500, 0.200)
Fe (0.500, 0.500, 0.401)
Fe (0.500, 0.500, 0.599)
Fe (0.500, 0.500, 0.800)
Co (0.000, 0.000, 0.500)
Co (0.500, 0.500, 0.000)

Properties
* energy above the most stable polymorph in this dataset: 0 meV per atom
* raw total energy: -0.6647 hartree per atom
* energy relative to the elements: -0.12 eV per atom
* calculated density: 8548 kg/m3